The following is a PBE calculation of an optimized crystal structure of YAg3S, from Alexandria.

Unit cell a=5.4636 b=5.4636 c=5.4636 alpha=90.00 beta=90.00 gamma=90.00
Last column: nearest neighbours and their distance in Å.
Fractional positions:
Y (0.0000, 0.0000, 0.0000)  6 Ag 2.73
S (0.5000, 0.5000, 0.5000)  12 Ag 3.86
Ag (0.0000, 0.5000, 0.0000)  2 Y 2.73
Ag (0.0000, 0.0000, 0.5000)  2 Y 2.73
Ag (0.5000, 0.0000, 0.0000)  2 Y 2.73

volume	163	Å³ per cell
D(E_F)	5.426	states/eV per cell
excess energy over the best structure of this formula in the dataset	4.884	eV per formula unit
uncorrected formation energy	1.227	eV per atom